(1)
DFT (PBE) results for Tm2AlZnGa after structural relaxation.

Cell lengths 7.127, 4.361, 7.196 Å; angles 90.00, 107.54, 90.00 degrees
Sites, in units of the cell vectors:
Tm 0.132 0.250 0.381
Tm 0.307 0.250 0.942
Tm 0.693 0.750 0.058
Tm 0.868 0.750 0.619
Al 0.345 0.750 0.660
Al 0.655 0.250 0.340
Zn 0.091 0.750 0.068
Zn 0.909 0.250 0.932
Ga 0.432 0.750 0.309
Ga 0.568 0.250 0.691

**Space group**: P2_1/m
**D(E_F)**: 0.6040 states/eV/atom
**Total DFT energy (no corrections)**: -3.800 eV per atom
**Total magnetization**: 0.00 μB per formula unit

(2)
DFT (PBE) results for TmAlZnGa after structural relaxation.

Cell lengths 4.725, 4.725, 4.725 Å; angles 60.00, 60.00, 60.00 degrees
Sites, in units of the cell vectors:
Tm 0.000 0.000 0.000
Al 0.500 0.500 0.500
Zn 0.250 0.250 0.250
Ga 0.750 0.750 0.750

**Space group**: F-43m
**Energy relative to the lowest polymorph listed for this composition**: 0 meV per atom
**D(E_F)**: 0.3733 states/eV/atom
**Total magnetization**: 0.00 μB per formula unit

(3)
DFT (PBE) results for TmZrAlGa after structural relaxation.

Cell lengths 4.891, 4.891, 4.891 Å; angles 60.00, 60.00, 60.00 degrees
Sites, in units of the cell vectors:
Tm 0.000 0.000 0.000
Zr 0.500 0.500 0.500
Al 0.250 0.250 0.250
Ga 0.750 0.750 0.750

**Space group**: F-43m
**D(E_F)**: 0.7495 states/eV/atom
**Total DFT energy (no corrections)**: -5.312 eV per atom
**Total magnetization**: 0.00 μB per formula unit

(4)
DFT (PBE) results for UAlGa6 after structural relaxation.

Cell lengths 5.970, 5.970, 4.622 Å; angles 90.00, 90.00, 113.20 degrees
Sites, in units of the cell vectors:
U 0.000 0.000 0.000
Al 0.500 0.500 0.000
Ga 0.000 0.500 0.000
Ga 0.210 0.790 0.500
Ga 0.298 0.298 0.500
Ga 0.500 0.000 0.000
Ga 0.702 0.702 0.500
Ga 0.790 0.210 0.500

**Space group**: Cmmm
**D(E_F)**: 0.9007 states/eV/atom
**Total DFT energy (no corrections)**: -4.225 eV per atom
**Total magnetization**: 2.35 μB per formula unit

(5)
DFT (PBE) results for UAlGa2 after structural relaxation.

Cell lengths 5.434, 5.434, 2.782 Å; angles 90.00, 90.00, 111.83 degrees
Sites, in units of the cell vectors:
U 0.000 0.000 0.000
Al 0.500 0.500 0.000
Ga 0.000 0.500 0.500
Ga 0.500 0.000 0.500

**Space group**: Cmmm
**Energy relative to the lowest polymorph listed for this composition**: 127 meV per atom
**D(E_F)**: 1.1474 states/eV/atom
**Total magnetization**: 2.20 μB per formula unit

(6)
DFT (PBE) results for U2Al9Ga after structural relaxation.

Cell lengths 4.199, 4.199, 12.720 Å; angles 90.00, 90.00, 90.00 degrees
Sites, in units of the cell vectors:
U 0.000 0.000 0.169
U 0.000 0.000 0.831
Al 0.000 0.500 0.000
Al 0.000 0.500 0.341
Al 0.000 0.500 0.659
Al 0.500 0.000 0.000
Al 0.500 0.000 0.341
Al 0.500 0.000 0.659
Al 0.500 0.500 0.167
Al 0.500 0.500 0.500
Al 0.500 0.500 0.833
Ga 0.000 0.000 0.500

**Space group**: P4/mmm
**D(E_F)**: 1.2401 states/eV/atom
**Total DFT energy (no corrections)**: -4.971 eV per atom
**Total magnetization**: 5.00 μB per formula unit

(7)
DFT (PBE) results for UAlGa2 after structural relaxation.

Cell lengths 5.553, 5.553, 5.553 Å; angles 45.77, 45.77, 45.77 degrees
Sites, in units of the cell vectors:
U 0.000 0.000 0.000
Al 0.500 0.500 0.500
Ga 0.225 0.225 0.225
Ga 0.775 0.775 0.775

**Space group**: R-3m
**Energy relative to the lowest polymorph listed for this composition**: 178 meV per atom
**D(E_F)**: 1.8245 states/eV/atom
**Total magnetization**: 2.57 μB per formula unit

(8)
DFT (PBE) results for UAlGa2 after structural relaxation.

Cell lengths 3.408, 3.408, 6.640 Å; angles 90.00, 90.00, 90.00 degrees
Sites, in units of the cell vectors:
U 0.000 0.000 0.000
Al 0.000 0.000 0.500
Ga 0.500 0.500 0.292
Ga 0.500 0.500 0.708

**Space group**: P4/mmm
**Energy relative to the lowest polymorph listed for this composition**: 174 meV per atom
**D(E_F)**: 1.9005 states/eV/atom
**Total magnetization**: 2.88 μB per formula unit

(9)
DFT (PBE) results for UAl6Ga after structural relaxation.

Cell lengths 6.228, 6.228, 3.831 Å; angles 90.00, 90.00, 90.00 degrees
Sites, in units of the cell vectors:
U 0.000 0.000 0.000
Al 0.000 0.500 0.000
Al 0.266 0.266 0.500
Al 0.266 0.734 0.500
Al 0.500 0.000 0.000
Al 0.734 0.266 0.500
Al 0.734 0.734 0.500
Ga 0.500 0.500 0.000

**Space group**: P4/mmm
**D(E_F)**: 0.9374 states/eV/atom
**Total DFT energy (no corrections)**: -4.561 eV per atom
**Total magnetization**: 2.94 μB per formula unit

(10)
DFT (PBE) results for UAl2Ga after structural relaxation.

Cell lengths 4.248, 4.248, 4.284 Å; angles 90.00, 90.00, 90.00 degrees
Sites, in units of the cell vectors:
U 0.000 0.000 0.000
Al 0.000 0.500 0.500
Al 0.500 0.000 0.500
Ga 0.500 0.500 0.000

**Space group**: P4/mmm
**D(E_F)**: 1.3022 states/eV/atom
**Total DFT energy (no corrections)**: -5.606 eV per atom
**Total magnetization**: 2.32 μB per formula unit

(11)
DFT (PBE) results for UAlGa after structural relaxation.

Cell lengths 5.101, 5.101, 5.101 Å; angles 134.89, 134.89, 65.70 degrees
Sites, in units of the cell vectors:
U 0.000 0.000 0.000
Al 0.656 0.656 0.000
Ga 0.340 0.340 0.000

**Space group**: I4mm
**D(E_F)**: 2.3035 states/eV/atom
**Total DFT energy (no corrections)**: -5.650 eV per atom
**Total magnetization**: 3.13 μB per formula unit

(12)
DFT (PBE) results for UAl2Ga3 after structural relaxation.

Cell lengths 8.071, 8.071, 5.231 Å; angles 90.00, 90.00, 136.24 degrees
Sites, in units of the cell vectors:
U 0.173 0.827 0.750
U 0.827 0.173 0.250
Al 0.225 0.225 0.000
Al 0.225 0.225 0.500
Al 0.775 0.775 0.000
Al 0.775 0.775 0.500
Ga 0.108 0.415 0.750
Ga 0.340 0.660 0.250
Ga 0.415 0.108 0.250
Ga 0.585 0.892 0.750
Ga 0.660 0.340 0.750
Ga 0.892 0.585 0.250

**Space group**: Cmcm
**D(E_F)**: 1.1959 states/eV/atom
**Total DFT energy (no corrections)**: -4.629 eV per atom
**Total magnetization**: 2.65 μB per formula unit